[1]
Tl3Te2Au: relaxed, GGA-PBE.

The structure in POSCAR format:
```
Tl3Te2Au
1.0
7.796 0.000 0.000
0.000 7.314 0.000
-3.898 -3.657 7.261
Tl Te Au
6 4 2
Cartesian
1.711 3.657 2.211
2.188 0.000 5.050
-2.188 3.657 5.050
6.086 0.000 2.211
3.898 5.486 0.000
3.898 1.829 0.000
1.517 0.000 1.654
2.381 3.657 5.607
-2.381 0.000 5.607
6.280 3.657 1.654
0.000 1.829 0.000
0.000 5.486 0.000
```

Properties
- symmetry = Ibam
- excess energy over the best structure of this formula in the dataset (meV per atom) = 7
- formation energy from raw total energies (kJ/mol of formula units) = -104

---

[2]
Tl3TeAu: relaxed, GGA-PBE.

The structure in POSCAR format:
```
Tl3TeAu
1.0
5.594 0.000 0.000
0.000 9.595 -0.604
0.000 -0.220 12.064
Tl Te Au
12 4 4
Cartesian
5.577 9.342 3.627
0.017 0.033 7.833
2.780 0.143 1.801
2.814 9.232 9.659
2.789 2.617 4.983
2.805 6.758 6.477
5.586 6.868 0.445
0.008 2.507 11.015
0.008 3.619 7.198
5.586 5.756 4.262
2.805 5.647 10.294
2.789 3.728 1.166
5.582 2.863 2.861
0.012 6.512 8.599
2.785 6.621 2.567
2.809 2.754 8.893
2.814 0.286 7.331
2.780 9.089 4.130
0.017 8.979 10.162
5.577 0.396 1.299
```

Properties
- symmetry = P2_1/c
- excess energy over the best structure of this formula in the dataset (meV per atom) = 0
- formation energy from raw total energies (kJ/mol of formula units) = -64

---

[3]
Tl2TeAu: relaxed, GGA-PBE.

The structure in POSCAR format:
```
Tl2TeAu
1.0
7.414 -0.052 -0.032
6.059 4.273 -0.032
6.059 1.898 3.828
Au Te Tl
1 1 2
Cartesian
9.649 3.023 1.860
15.026 4.708 2.896
0.140 0.044 0.027
4.481 1.404 0.864
```

Properties
- symmetry = R3m
- excess energy over the best structure of this formula in the dataset (meV per atom) = 8
- formation energy from raw total energies (kJ/mol of formula units) = -42

---

[4]
Tl2TeAu: relaxed, GGA-PBE.

The structure in POSCAR format:
```
Tl2TeAu
1.0
0.000 3.852 3.852
3.852 0.000 3.852
3.852 3.852 0.000
Tl Te Au
2 1 1
Cartesian
1.926 1.926 1.926
5.778 5.778 5.778
0.000 0.000 0.000
3.852 3.852 3.852
```

Properties
- symmetry = Fm-3m
- excess energy over the best structure of this formula in the dataset (meV per atom) = 121
- formation energy from raw total energies (kJ/mol of formula units) = 1

---

[5]
Tl2TeAu: relaxed, GGA-PBE.

The structure in POSCAR format:
```
Tl2TeAu
1.0
-2.959 3.061 -3.081
-2.506 -4.532 0.899
-1.964 1.822 3.700
Au Te Tl
1 1 2
Cartesian
-2.461 2.442 0.309
-2.235 -1.355 2.299
0.000 0.000 0.000
-2.732 -0.735 -1.091
```

Properties
- symmetry = Cmmm
- excess energy over the best structure of this formula in the dataset (meV per atom) = 83
- formation energy from raw total energies (kJ/mol of formula units) = -13

---

[6]
Tl3Te2Au2: relaxed, GGA-PBE.

The structure in POSCAR format:
```
Tl3Te2Au2
1.0
-2.948 5.069 1.004
-2.097 0.803 -10.210
-11.620 -7.120 1.827
Tl Te Au
12 8 8
Cartesian
-2.897 0.397 -5.966
-10.410 0.414 -1.940
-7.396 1.700 0.413
-12.629 -5.006 -7.263
-13.769 -1.644 -1.412
-6.256 -1.662 -5.438
-9.270 -2.948 -7.791
-4.037 3.759 -0.116
-4.424 0.150 -1.683
-12.242 -1.398 -5.695
-6.403 2.151 -6.471
-10.263 -3.399 -0.907
-1.528 1.926 -2.211
-9.328 0.386 -6.081
-3.518 3.946 -6.995
-7.338 -1.634 -1.297
-6.195 2.748 -2.824
-10.470 -3.996 -4.554
-5.302 -0.190 -8.591
-11.364 -1.058 1.212
-3.773 2.879 -4.077
-9.037 -1.764 -3.907
-8.024 -0.205 -8.799
-12.497 -3.405 2.026
-12.893 -4.126 -3.301
-7.629 0.516 -3.471
-8.642 -1.042 1.420
-4.169 2.157 -9.405
```

Properties
- symmetry = Pbcm
- formation energy from raw total energies (kJ/mol of formula units) = -103

---

[7]
TlTe2Au2: relaxed, GGA-PBE.

The structure in POSCAR format:
```
TlTe2Au2
1.0
-3.044 -5.056 4.161
6.876 1.833 1.225
-3.553 6.035 2.152
Tl Te Au
2 4 4
Cartesian
-1.057 1.229 6.029
1.336 1.582 1.510
-1.337 3.977 2.851
-1.757 -0.566 2.425
2.036 3.377 5.113
1.616 -1.165 4.687
3.452 3.553 2.867
0.175 5.528 4.387
-3.173 -0.741 4.672
0.104 -2.717 3.151
```

Properties
- symmetry = C2/c
- excess energy over the best structure of this formula in the dataset (meV per atom) = 0
- formation energy from raw total energies (kJ/mol of formula units) = -61

---

[8]
Tl3Te4Au2: relaxed, GGA-PBE.

The structure in POSCAR format:
```
Tl3Te4Au2
1.0
-6.682 -0.356 -1.842
2.680 -5.893 -6.832
-0.063 -8.673 3.655
Tl Te Au
6 8 4
Cartesian
-0.504 -2.147 0.735
-0.879 -13.266 -2.311
-3.561 -12.775 -5.754
-3.185 -1.656 -2.708
-0.022 -7.027 -3.349
-4.042 -7.894 -1.670
-1.545 -8.197 -6.436
-4.087 -5.105 -6.282
-2.519 -6.725 1.417
0.023 -9.816 1.263
-0.055 -5.277 -0.423
-1.123 -9.928 -1.935
-4.009 -9.644 -4.596
-2.941 -4.994 -3.084
-2.654 -4.385 -0.359
1.243 -11.056 -1.109
-1.410 -10.536 -4.660
-5.307 -3.866 -3.910
```

Properties
- symmetry = C2/c
- excess energy over the best structure of this formula in the dataset (meV per atom) = 12
- formation energy from raw total energies (kJ/mol of formula units) = -109

---

[9]
Tl2TeAu: relaxed, GGA-PBE.

The structure in POSCAR format:
```
Tl2TeAu
1.0
-2.729 2.190 1.590
-1.687 -3.142 1.433
4.348 0.656 6.559
Au Te Tl
1 1 2
Cartesian
2.301 0.347 3.471
0.858 -0.013 6.137
4.191 0.632 6.323
-0.896 -0.278 3.490
```

Properties
- symmetry = P4mm
- excess energy over the best structure of this formula in the dataset (meV per atom) = 125
- formation energy from raw total energies (kJ/mol of formula units) = 3

---

[10]
Tl5Te5Au2: relaxed, GGA-PBE.

The structure in POSCAR format:
```
Tl5Te5Au2
1.0
-1.724 -1.212 3.875
4.941 -6.188 -2.248
6.647 8.465 5.606
Tl Te Au
5 5 2
Cartesian
2.461 3.626 4.740
0.813 -2.316 2.148
3.499 -0.927 3.778
6.365 1.992 3.456
9.051 3.381 5.085
3.499 1.802 2.121
5.530 3.988 6.219
4.334 -2.923 1.014
6.365 -0.738 5.112
0.000 0.000 0.000
5.715 6.080 4.445
4.150 -5.015 2.788
```

Properties
- symmetry = C2/m
- formation energy from raw total energies (kJ/mol of formula units) = -183

---

[11]
Tl12Te5Au2: relaxed, GGA-PBE.

The structure in POSCAR format:
```
Tl12Te5Au2
1.0
8.206 0.000 0.000
-4.103 8.940 -1.822
0.000 0.640 9.154
Tl Te Au
12 5 2
Cartesian
4.103 7.702 0.040
-2.080 6.501 6.863
2.080 6.501 6.863
-1.764 6.853 3.093
1.764 6.853 3.093
4.103 0.585 6.955
0.000 8.995 0.378
5.867 2.728 4.240
2.339 2.728 4.240
6.183 3.079 0.470
2.023 3.079 0.470
0.000 1.878 7.292
0.000 4.662 5.184
0.000 5.858 0.218
0.000 0.320 4.577
4.103 3.722 7.114
4.103 4.918 2.148
6.106 0.000 0.000
2.099 0.000 0.000
```

Properties
- symmetry = C2/m
- formation energy from raw total energies (kJ/mol of formula units) = -326

---

[12]
Tl2TeAu: relaxed, GGA-PBE.

The structure in POSCAR format:
```
Tl2TeAu
1.0
-0.761 -3.687 2.164
-2.797 -2.625 -5.455
8.412 -1.821 -0.142
Tl Te Au
4 2 2
Cartesian
2.322 -3.985 0.562
2.532 -4.147 -3.995
-1.950 -3.210 -3.976
6.803 -4.922 0.543
0.016 -4.942 -1.879
4.837 -3.190 -1.554
0.608 -2.150 -1.271
4.246 -5.981 -2.161
```

Properties
- symmetry = P2_1/m
- excess energy over the best structure of this formula in the dataset (meV per atom) = 0
- formation energy from raw total energies (kJ/mol of formula units) = -45

---

Q: What is the formation energy from raw total energies in the first record?
A: -104 kJ/mol of formula units

---

Q: Which of these has the highest formation energy from raw total energies?
A: number 9